# 1
Compound: CaPb3
Source: Alexandria
Functional: GGA-PBEsol
Structure: relaxed

The energy of formation is -269 meV per atom. For the size of the total moment, the calculation gives 0.00 μB/cell. The value obtained for the final energy is -3.801 eV/atom.

The structure belongs to space group C2/m (No. 12); the cell edges are 11.619, 3.748 and 5.570 Å and the angles 90.00°, 106.50° and 90.00°. The distinct sites, in fractional coordinates, are Ca at (0.000, 0.000, 0.000), Pb at (0.000, 0.500, 0.500) and Pb at (0.248, 0.000, 0.742).

# 2
Compound: Ca5Pb3
Source: Alexandria
Functional: GGA-PBEsol
Structure: relaxed

The energy of formation is -564 meV per atom. For the size of the total moment, the calculation gives 0.00 μB/cell. The value obtained for the final energy is -3.397 eV/atom.

The structure belongs to space group P6_3/mcm (No. 193); the cell edges are 9.3323, 9.3323 and 6.7550 Å and the angles 90.00°, 90.00° and 120.00°. The distinct sites, in fractional coordinates, are Ca at (0.0000, 0.2671, 0.2500), Ca at (0.3333, 0.6667, 0.0000) and Pb at (0.0000, 0.3872, 0.7500).